DFT (PBE) results for a geometry-optimized CsSrAlSe3 structure.

formation energy from raw total energies: -1.187 eV/atom

The structure in CIF format:
```
data_CsSrAlSe3
_cell_length_a 16.789
_cell_length_b 5.176
_cell_length_c 9.538
_cell_angle_alpha 90.00
_cell_angle_beta 104.25
_cell_angle_gamma 90.00
_symmetry_space_group_name_H-M 'C 1 2/m 1'
_symmetry_Int_Tables_number 12
loop_
_symmetry_equiv_pos_as_xyz
'x,y,z'
'-x,-y,-z'
'-x,y,-z'
'x,-y,z'
'x+1/2,y+1/2,z'
'-x+1/2,-y+1/2,-z'
'-x+1/2,y+1/2,-z'
'x+1/2,-y+1/2,z'
loop_
_atom_site_label
_atom_site_type_symbol
_atom_site_fract_x
_atom_site_fract_y
_atom_site_fract_z
Cs1 Cs 0.149 0.000 0.062
Sr1 Sr 0.146 0.000 0.564
Al1 Al 0.012 0.500 0.291
Se1 Se 0.002 0.000 0.285
Se2 Se 0.136 0.500 0.763
Se3 Se 0.159 0.500 0.352
```